# 1
Material: Dy7Cd2Ru2
Method: DFT, GGA-PBE
State: optimized geometry

Calculated values
E_form, meV per atom: -273
Crystal system: orthorhombic
Total energy, eV per cell: -111.208
Relative energy among the computed polymorphs, meV per atom: 0.0

Unit cell a=3.762 b=16.606 c=9.466 alpha=90.00 beta=90.00 gamma=90.00
Space group Imm2 (No. 44)
Unique sites:
Dy (0.000, 0.000, 0.000) [2 per cell]
Dy (0.000, 0.136, 0.432) [4 per cell]
Dy (0.000, 0.317, 0.626) [4 per cell]
Dy (0.000, 0.349, 0.266) [4 per cell]
Cd (0.000, 0.000, 0.667) [2 per cell]
Cd (0.000, 0.500, 0.773) [2 per cell]
Ru (0.000, 0.243, 0.923) [4 per cell]


# 2
Material: Th2CoCu
Method: DFT, GGA-PBE
State: optimized geometry

Calculated values
E_form, meV per atom: -220
Crystal system: monoclinic
Total energy, eV per cell: -53.840
Relative energy among the computed polymorphs, meV per atom: 0.0

Unit cell a=5.881 b=4.207 c=7.659 alpha=90.00 beta=110.06 gamma=90.00
Space group P2_1/m (No. 11)
Unique sites:
Th (0.222, 0.250, 0.421) [2 per cell]
Th (0.225, 0.250, 0.943) [2 per cell]
Co (0.311, 0.750, 0.208) [2 per cell]
Cu (0.354, 0.750, 0.712) [2 per cell]


# 3
Material: AcYSeO2
Method: DFT, GGA-PBE
State: optimized geometry

Calculated values
Energy relative to the elements, uncorrected, eV per atom: -3.07
Crystal system: tetragonal
Total energy, eV per cell: -39.303

Unit cell a=4.208 b=4.208 c=6.492 alpha=90.00 beta=90.00 gamma=90.00
Space group P4mm (No. 99)
Unique sites:
Ac (0.000, 0.000, 0.000) [1 per cell]
Y (0.500, 0.500, 0.341) [1 per cell]
Se (0.500, 0.500, 0.774) [1 per cell]
O (0.000, 0.500, 0.219) [2 per cell]


# 4
Material: Li2CaPb
Method: DFT, GGA-PBE
State: optimized geometry

Calculated values
E_form, meV per atom: -246
Crystal system: monoclinic
Total energy, eV per cell: -10.523

Unit cell a=3.768 b=4.911 c=6.023 alpha=90.00 beta=107.94 gamma=90.00
Space group Pm (No. 6)
Unique sites:
Li (0.000, 0.000, 0.000) [1 per cell]
Li (0.413, 0.500, 0.828) [1 per cell]
Ca (0.719, 0.000, 0.445) [1 per cell]
Pb (0.124, 0.500, 0.251) [1 per cell]


# 5
Material: KNiAg2
Method: DFT, GGA-PBE
State: optimized geometry

Calculated values
E_form, meV per atom: 469
Crystal system: tetragonal
Total energy, eV per cell: -42.828
Relative energy among the computed polymorphs, meV per atom: 151.2

Unit cell a=5.394 b=5.394 c=17.110 alpha=90.00 beta=90.00 gamma=90.00
Space group I4_1/amd (No. 141, origin choice 2)
Unique sites:
K (0.000, 0.250, 0.375) [4 per cell]
Ni (0.000, 0.250, 0.875) [4 per cell]
Ag (0.000, 0.000, 0.000) [8 per cell]


# 6
Material: Ca2PIr2
Method: DFT, GGA-PBE
State: optimized geometry

Calculated values
E_form, meV per atom: -754
Crystal system: monoclinic
Total energy, eV per cell: -123.626
Relative energy among the computed polymorphs, meV per atom: 0.0

Unit cell a=9.542 b=5.806 c=7.391 alpha=90.00 beta=99.77 gamma=90.00
Space group C2/c (No. 15)
Unique sites:
Ca (0.150, 0.125, 0.147) [8 per cell]
P (0.000, 0.428, 0.750) [4 per cell]
Ir (0.124, 0.363, 0.506) [8 per cell]


Summary of N(E_F) in states/eV/f.u.
13.28, 3.71, 0.00, 2.01, 4.29, 1.71
(order as listed above)